{
  "formula": "Cu2HgMoO",
  "functional": "GGA+U",
  "state": "relaxed",
  "lattice": [[4.243, 0.000, 0.000], [0.000, 4.243, 0.000], [0.000, 0.000, 4.311]],
  "species": ["Cu", "Cu", "Hg", "Mo", "O"],
  "frac_coords": [[0.000, 0.500, 0.000], [0.500, 0.000, 0.000], [0.000, 0.000, 0.500], [0.500, 0.500, 0.500], [0.500, 0.500, 0.000]],
  "space_group": "No. 123",
  "dft_energy_ev_per_atom": -4.006,
  "dos_at_fermi_per_ev_fu": 2.19
}